First-principles (GGA+U) data for crystalline Mn3TeCl2O6 at its relaxed geometry, as listed in Alexandria.

Cell: 6.0707 6.0707 5.5738 Å, 98.57 98.57 61.35°
With the nearest neighbours (Å) after each atom.
Element x y z (fractional)
Mn (0.0000, 0.0000, 0.0000)  2 Cl 2.38, 4 O 2.43
Mn (0.0000, 0.5000, 0.5000)  4 O 1.98-1.99
Mn (0.5000, 0.0000, 0.5000)  4 O 1.98-1.99
Te (0.5000, 0.5000, 0.5000)  6 O 1.99-2.01
Cl (0.1944, 0.1944, 0.8314)  3 Mn 2.38-2.55
Cl (0.8056, 0.8056, 0.1686)  3 Mn 2.38-2.55
O (0.1982, 0.6605, 0.6876)  1 Mn 1.98, 1 Te 1.99
O (0.3141, 0.3141, 0.3309)  2 Mn 1.99, 1 Te 2.01
O (0.3395, 0.8018, 0.3124)  1 Mn 1.98, 1 Te 1.99
O (0.6605, 0.1982, 0.6876)  1 Mn 1.98, 1 Te 1.99
O (0.6859, 0.6859, 0.6691)  2 Mn 1.99, 1 Te 2.01
O (0.8018, 0.3395, 0.3124)  1 Mn 1.98, 1 Te 1.99

Results
The calculation puts the final energy at -0.448 Ry/atom. Its space-group type is No. 12.